Record 1
## RbSn3S6 (PBE-GGA)

Data for crystalline RbSn3S6 at its relaxed geometry.

The structure in POSCAR format:
```
RbSn3S6
1.0
12.388 0.000 0.000
0.000 3.781 0.000
-2.922 0.000 13.389
Rb Sn S
2 6 12
direct
0.144 0.250 0.405
0.856 0.750 0.595
0.072 0.750 0.916
0.204 0.250 0.732
0.485 0.750 0.618
0.515 0.250 0.382
0.796 0.750 0.268
0.928 0.250 0.084
0.009 0.250 0.783
0.126 0.250 0.049
0.139 0.750 0.608
0.260 0.750 0.869
0.377 0.750 0.437
0.411 0.250 0.720
0.589 0.750 0.280
0.623 0.250 0.563
0.740 0.250 0.131
0.861 0.250 0.392
0.874 0.750 0.951
0.991 0.750 0.217
```

As for the electronic total energy: -4.27 eV/atom. Its space-group type is P2_1/m, No. 11. The calculation puts the density at 3.36 g/cm3.

Record 2
## Rb6Sn2S7 (PBE-GGA)

Data for crystalline Rb6Sn2S7 at its relaxed geometry.

The structure in POSCAR format:
```
Rb6Sn2S7
1.0
10.148 0.000 0.000
0.000 13.748 0.000
0.000 0.000 15.036
Rb Sn S
24 8 28
direct
0.032 0.165 0.189
0.063 0.816 0.880
0.140 0.650 0.644
0.145 0.574 0.088
0.219 0.862 0.439
0.244 0.113 0.627
0.256 0.887 0.127
0.281 0.138 0.939
0.355 0.426 0.588
0.360 0.350 0.144
0.437 0.184 0.380
0.468 0.835 0.689
0.532 0.335 0.811
0.563 0.684 0.120
0.640 0.850 0.356
0.645 0.926 0.912
0.719 0.638 0.561
0.744 0.387 0.373
0.756 0.613 0.873
0.781 0.362 0.061
0.855 0.074 0.412
0.860 0.150 0.856
0.937 0.316 0.620
0.968 0.665 0.311
0.080 0.391 0.865
0.120 0.396 0.382
0.380 0.604 0.882
0.420 0.609 0.365
0.580 0.109 0.135
0.620 0.104 0.618
0.880 0.896 0.118
0.920 0.891 0.635
0.016 0.502 0.489
0.023 0.417 0.239
0.100 0.328 0.012
0.118 0.231 0.435
0.136 0.569 0.864
0.149 0.894 0.675
0.207 0.298 0.761
0.293 0.702 0.261
0.351 0.106 0.175
0.364 0.431 0.364
0.382 0.769 0.935
0.400 0.672 0.512
0.477 0.583 0.739
0.484 0.498 0.989
0.516 0.998 0.511
0.523 0.083 0.761
0.600 0.172 0.988
0.618 0.269 0.565
0.636 0.931 0.136
0.649 0.606 0.325
0.707 0.202 0.239
0.793 0.798 0.739
0.851 0.394 0.825
0.864 0.069 0.636
0.882 0.731 0.065
0.900 0.828 0.488
0.977 0.917 0.261
0.984 0.002 0.011
```

As for the electronic total energy: -3.85 eV/atom. Its space-group type is P2_12_12_1, No. 19. The calculation puts the density at 3.09 g/cm3.

Record 3
## Rb3SnS (PBE-GGA)

Data for crystalline Rb3SnS at its relaxed geometry.

The structure in POSCAR format:
```
Rb3SnS
1.0
6.418 0.000 0.000
0.000 6.418 0.000
0.000 0.000 6.418
Rb Sn S
3 1 1
direct
0.000 0.000 0.500
0.000 0.500 0.000
0.500 0.000 0.000
0.500 0.500 0.500
0.000 0.000 0.000
```

As for the electronic total energy: -2.56 eV/atom. Its energy relative to the lowest polymorph listed for this composition is 0.000 eV per atom. Its space-group type is Pm-3m, No. 221. The calculation puts the density at 2.56 g/cm3.